Entry from Alexandria via LeMat-Bulk: a relaxed VPNF2 crystal (PBE+U).

Summary:
The size of the total moment comes out at 2.979 μB per formula unit. The final energy is -27.234 eV per cell. The energy above the lowest structure with this stoichiometry comes out at 0 meV/atom. The density of states at the Fermi level is 2.9 states/eV/cell.

a = 3.9157 Å, b = 3.9157 Å, c = 4.1150 Å
α = 90.00°, β = 90.00°, γ = 90.00°
Last column: nearest neighbours and their distance in Å.
Space group P4/mmm (No. 123)
Asymmetric unit:
V1 0.0000 0.0000 0.0000 (multiplicity 1)  4 F 1.96, 2 N 2.06
P1 0.5000 0.5000 0.5000 (multiplicity 1)  4 N 2.77, 8 F 2.84
N1 0.0000 0.0000 0.5000 (multiplicity 1)  2 V 2.06
F1 0.0000 0.5000 0.0000 (multiplicity 2)  2 V 1.96